Below is a geometry-optimized Fe2Co2Pd structure, with properties calculated at the PBE level.

a = 6.757 Å, b = 6.757 Å, c = 2.534 Å
α = 90.00°, β = 90.00°, γ = 90.00°
Fractional positions:
Fe1 0.329 0.171 0.500
Fe2 0.829 0.329 0.500
Co1 0.122 0.378 0.000
Co2 0.622 0.122 0.000
Co3 0.878 0.622 0.000
Co4 0.378 0.878 0.000
Pd1 0.500 0.500 0.000
Fe3 0.171 0.671 0.500
Pd2 0.000 0.000 0.000
Fe4 0.671 0.829 0.500

Output
energy of formation from the pure elements = 0.334 eV per atom
space-group type = P4/mbm (127)
calculated volume = 11.57 Å³ per atom
magnetization = 0.00 μB/f.u.